Entry 1:
Crystalline CsMgH3 at its relaxed geometry, computed with GGA-PBEsol.

POSCAR file:
```
CsMgH3
1.0
3.068 1.771 7.359
-3.068 1.771 7.359
0.000 -3.542 7.359
Cs Mg H
3 3 9
direct
0.000 0.000 0.000
0.214 0.214 0.214
0.786 0.786 0.786
0.379 0.379 0.379
0.500 0.500 0.500
0.621 0.621 0.621
0.000 0.500 0.500
0.280 0.699 0.699
0.301 0.301 0.720
0.301 0.720 0.301
0.500 0.000 0.500
0.500 0.500 0.000
0.699 0.280 0.699
0.699 0.699 0.280
0.720 0.301 0.301
```


Entry 2:
Crystalline CsNaMgH2 at its relaxed geometry, computed with GGA-PBEsol.

POSCAR file:
```
CsNaMgH2
1.0
4.936 0.000 0.000
0.000 4.936 0.000
0.000 0.000 5.920
Cs Na Mg H
1 1 1 2
direct
0.000 0.000 0.000
0.000 0.000 0.500
0.500 0.500 0.000
0.000 0.500 0.500
0.500 0.000 0.500
```


Entry 3:
Crystalline Cs2MgH12S2O14 at its relaxed geometry, computed with GGA-PBEsol.

POSCAR file:
```
Cs2MgH12S2O14
1.0
6.321 0.000 0.000
0.000 12.701 0.000
-2.642 0.000 8.834
Cs Mg H S O
4 2 24 4 28
direct
0.150 0.146 0.368
0.150 0.354 0.868
0.850 0.646 0.132
0.850 0.854 0.632
0.500 0.000 0.000
0.500 0.500 0.500
0.162 0.563 0.602
0.162 0.937 0.102
0.177 0.099 0.787
0.177 0.401 0.287
0.187 0.642 0.477
0.187 0.858 0.977
0.415 0.131 0.762
0.415 0.369 0.262
0.421 0.596 0.219
0.421 0.904 0.719
0.479 0.686 0.346
0.479 0.814 0.846
0.521 0.186 0.154
0.521 0.314 0.654
0.579 0.096 0.281
0.579 0.404 0.781
0.585 0.631 0.738
0.585 0.869 0.238
0.813 0.142 0.023
0.813 0.358 0.523
0.823 0.599 0.713
0.823 0.901 0.213
0.838 0.063 0.898
0.838 0.437 0.398
0.240 0.645 0.896
0.240 0.855 0.396
0.760 0.145 0.604
0.760 0.355 0.104
0.100 0.582 0.767
0.100 0.918 0.267
0.108 0.736 0.921
0.108 0.764 0.421
0.208 0.567 0.507
0.208 0.933 0.007
0.302 0.578 0.033
0.302 0.922 0.533
0.338 0.110 0.838
0.338 0.390 0.338
0.442 0.683 0.858
0.442 0.817 0.358
0.497 0.109 0.172
0.497 0.391 0.672
0.503 0.609 0.328
0.503 0.891 0.828
0.558 0.183 0.642
0.558 0.317 0.142
0.662 0.610 0.662
0.662 0.890 0.162
0.698 0.078 0.467
0.698 0.422 0.967
0.792 0.067 0.993
0.792 0.433 0.493
0.892 0.236 0.579
0.892 0.264 0.079
0.900 0.082 0.733
0.900 0.418 0.233
```


no.,magnetic moment (μB/cell),VASP energy (eV per atom)
1,0.00,-2.77
2,0.00,-1.57
3,0.44,-5.50